Entry 1:
A PBEsol-optimized structure of NiHg. Source: the Alexandria database, functional meta-GGA SCAN.

```
4
Lattice="1.459 0.842 8.651 -1.459 0.842 8.651 0.000 -1.685 8.651" Properties=species:S:1:pos:R:3 pbc="T T T"
Ni 0.000 0.000 3.492
Ni 0.000 0.000 22.461
Hg 0.000 0.000 10.023
Hg 0.000 0.000 15.931
```

Summary:
Energy relative to the elements   0.384 eV per atom

---

Entry 2:
A PBEsol-optimized structure of NiHg3. Source: the Alexandria database, functional meta-GGA SCAN.

```
4
Lattice="2.979 0.000 0.000 0.000 2.979 0.000 0.000 0.000 8.466" Properties=species:S:1:pos:R:3 pbc="T T T"
Ni 0.000 0.000 0.000
Hg 0.000 0.000 4.233
Hg 1.490 1.490 1.693
Hg 1.490 1.490 6.773
```

Summary:
Energy relative to the elements   0.225 eV per atom

---

Entry 3:
A PBEsol-optimized structure of Ni2Hg. Source: the Alexandria database, functional meta-GGA SCAN.

```
3
Lattice="4.113 0.000 0.000 -2.057 3.562 0.000 0.000 0.000 2.761" Properties=species:S:1:pos:R:3 pbc="T T T"
Ni 0.000 2.375 0.000
Ni 2.057 1.187 0.000
Hg 0.000 0.000 1.380
```

Summary:
Energy relative to the elements   0.329 eV per atom

---

Entry 4:
A PBEsol-optimized structure of NiHgO2. Source: the Alexandria database, functional meta-GGA SCAN.

```
4
Lattice="1.434 0.828 7.005 -1.434 0.828 7.005 0.000 -1.656 7.005" Properties=species:S:1:pos:R:3 pbc="T T T"
Ni 0.000 0.000 0.000
Hg 0.000 0.000 10.508
O 0.000 0.000 7.939
O 0.000 0.000 13.078
```

Summary:
Formation energy from raw total energies   -0.80 eV/atom

---

Entry 5:
A PBEsol-optimized structure of NiHg3O. Source: the Alexandria database, functional meta-GGA SCAN.

```
5
Lattice="4.544 0.000 0.000 0.000 4.544 0.000 0.000 0.000 4.544" Properties=species:S:1:pos:R:3 pbc="T T T"
Ni 0.000 0.000 0.000
Hg 0.000 2.272 2.272
Hg 2.272 0.000 2.272
Hg 2.272 2.272 0.000
O 2.272 2.272 2.272
```

Summary:
Formation energy from raw total energies   0.79 eV/atom

---

Entry 6:
A PBEsol-optimized structure of NiHgPO2. Source: the Alexandria database, functional meta-GGA SCAN.

```
5
Lattice="3.971 0.000 0.000 0.000 3.971 0.000 0.000 0.000 5.174" Properties=species:S:1:pos:R:3 pbc="T T T"
Ni 0.000 0.000 0.000
Hg 1.985 1.985 2.587
P 1.985 1.985 0.000
O 0.000 1.985 2.587
O 1.985 0.000 2.587
```

Summary:
Formation energy from raw total energies   0.95 eV/atom

---

no.,DOS(E_F) (states/eV per cell)
1,2.410
2,1.795
3,2.237
4,1.777
5,2.086
6,2.688